Record 1
# GaSiTe GGA-PBE relaxed
# Formation energy without anion corrections (eV per atom): -0.005
# Theoretical density (Mg/m³): 4.64
# DFT total energy (eV/atom): -3.868
data_GaSiTe
_chemical_formula_sum 'Ga2 Si2 Te2'
_symmetry_space_group_name_H-M 'P 1'
_symmetry_Int_Tables_number 1
_cell_length_a 4.2483
_cell_length_b 6.0653
_cell_length_c 7.0994
_cell_angle_alpha 108.01
_cell_angle_beta 93.51
_cell_angle_gamma 109.44
loop_
_symmetry_equiv_pos_as_xyz
'x,y,z'
loop_
_atom_site_label
_atom_site_fract_x
_atom_site_fract_y
_atom_site_fract_z
Ga1 0.0000 0.0000 0.0000
Ga2 0.2048 0.3345 0.6194
Si1 0.4794 0.9265 0.1396
Si2 0.5907 0.1075 0.4970
Te1 0.0588 0.4688 0.9999
Te2 0.7043 0.7519 0.5924



Record 2
# Ga2SiTe4 GGA-PBE relaxed
# Formation energy without anion corrections (eV per atom): -0.076
# Theoretical density (Mg/m³): 4.58
# N(E_F) (states/eV/f.u.): 1.76
# DFT total energy (eV/atom): -3.511
data_Ga2SiTe4
_chemical_formula_sum 'Ga4 Si2 Te8'
_symmetry_space_group_name_H-M 'I -4 2 m'
_symmetry_Int_Tables_number 121
_symmetry_space_group_name_Hall 'I -4 2'
_cell_length_a 7.0989
_cell_length_b 7.0989
_cell_length_c 9.7550
_cell_angle_alpha 90.00
_cell_angle_beta 90.00
_cell_angle_gamma 90.00
loop_
_atom_site_label
_atom_site_fract_x
_atom_site_fract_y
_atom_site_fract_z
Ga1 0.0000 0.5000 0.2500
Si1 0.0000 0.0000 0.0000
Te1 0.2270 0.2270 0.8856



Record 3
# GaSi2Te GGA-PBE relaxed
# Energy above the lowest structure with this stoichiometry (meV per atom): 216
# Formation energy without anion corrections (eV per atom): 0.544
# Theoretical density (Mg/m³): 5.31
# N(E_F) (states/eV/f.u.): 1.65
# DFT total energy (eV/atom): -3.709
data_GaSi2Te
_chemical_formula_sum 'Ga4 Si8 Te4'
_symmetry_space_group_name_H-M 'F m -3 m'
_symmetry_Int_Tables_number 225
_symmetry_space_group_name_Hall '-F 4 2 3'
_cell_length_a 6.8191
_cell_length_b 6.8191
_cell_length_c 6.8191
_cell_angle_alpha 90.00
_cell_angle_beta 90.00
_cell_angle_gamma 90.00
loop_
_atom_site_label
_atom_site_fract_x
_atom_site_fract_y
_atom_site_fract_z
Ga1 0.0000 0.0000 0.0000
Si1 0.2500 0.2500 0.2500
Te1 0.0000 0.0000 0.5000



Record 4
# GaSiTe GGA-PBE relaxed
# Formation energy without anion corrections (eV per atom): -0.013
# Theoretical density (Mg/m³): 4.43
# N(E_F) (states/eV/f.u.): 0.15
# DFT total energy (eV/atom): -3.876
data_GaSiTe
_chemical_formula_sum 'Ga4 Si4 Te4'
_symmetry_space_group_name_H-M 'C 1 m 1'
_symmetry_Int_Tables_number 8
_cell_length_a 13.6636
_cell_length_b 4.1270
_cell_length_c 6.2574
_cell_angle_alpha 90.00
_cell_angle_beta 106.70
_cell_angle_gamma 90.00
loop_
_symmetry_equiv_pos_as_xyz
'x,y,z'
'x,-y,z'
'x+1/2,y+1/2,z'
'x+1/2,-y+1/2,z'
loop_
_atom_site_label
_atom_site_fract_x
_atom_site_fract_y
_atom_site_fract_z
Ga1 0.0000 0.0000 0.0000
Ga2 0.1366 0.0000 0.3635
Si1 0.1701 0.5000 0.5826
Si2 0.3098 0.5000 0.9134
Te1 0.0086 0.5000 0.7227
Te2 0.2989 0.0000 0.1700